A plane-wave DFT calculation with PBE was carried out for EuDyYCd after structural relaxation.

Cell and atoms, written as CIF:
```
data_EuDyYCd
_space_group_name_H-M_alt 'P 1'
_space_group_IT_number 1
_space_group_name_Hall 'P 1'
_cell_length_a 5.518
_cell_length_b 5.518
_cell_length_c 5.518
_cell_angle_alpha 60.00
_cell_angle_beta 60.00
_cell_angle_gamma 60.00
loop_
_atom_site_label
_atom_site_type_symbol
_atom_site_fract_x
_atom_site_fract_y
_atom_site_fract_z
Eu1 Eu 0.500 0.500 0.500
Y1 Y 0.750 0.750 0.750
Cd1 Cd 0.000 0.000 0.000
Dy1 Dy 0.250 0.250 0.250
```

- energy of formation (meV per atom) = -4
- calculated total energy (eV per formula unit) = -22.3
- space group = F-43m, No. 216
- calculated volume (Å³ per atom) = 29.70